First-principles (GGA-PBE) data for a relaxed LaNbPdRu2 crystal, as listed in Alexandria.

Structure (POSCAR):
```
LaNbPdRu2
1.0
-0.064 1.582 -4.600
3.838 -3.115 -1.125
-3.178 -3.497 -1.159
Ru La Nb Pd
2 1 1 1
direct
0.000 0.000 0.500
0.500 0.000 0.000
0.000 0.500 0.000
0.500 0.500 0.500
0.000 0.000 0.000
```

Calculated values
energy relative to the elements: 1.452 eV per atom


First-principles (GGA-PBE) data for a relaxed LaNbSb2Pd crystal, as listed in Alexandria.

Structure (POSCAR):
```
LaNbSb2Pd
1.0
5.283 0.000 0.000
0.000 5.442 0.000
0.000 0.000 5.283
Sb Nb Pd La
2 1 1 1
direct
0.500 0.000 0.000
0.000 0.000 0.500
0.000 0.000 0.000
0.500 0.500 0.500
0.000 0.500 0.000
```

Calculated values
raw formation energy: 278 meV/atom


First-principles (GGA-PBE) data for a relaxed LaNbPd2Se crystal, as listed in Alexandria.

Structure (POSCAR):
```
LaNbPd2Se
1.0
4.749 0.000 0.000
0.000 5.529 0.000
0.000 0.000 4.749
La Se Nb Pd
1 1 1 2
direct
0.000 0.500 0.000
0.000 0.000 0.000
0.500 0.500 0.500
0.500 0.000 0.000
0.000 0.000 0.500
```

Calculated values
raw formation energy: 304 meV/atom


First-principles (GGA-PBE) data for a relaxed LaNbV2Pd crystal, as listed in Alexandria.

Structure (POSCAR):
```
LaNbV2Pd
1.0
-4.110 -0.651 -2.044
1.049 -5.427 -0.383
-1.957 -0.671 4.149
V La Pd Nb
2 1 1 1
direct
0.500 0.000 0.000
0.000 0.000 0.500
0.000 0.500 0.000
0.500 0.500 0.500
0.000 0.000 0.000
```

Calculated values
energy relative to the elements: 1.060 eV per atom